Entry 1:
# RbHoGaS4 (GGA-PBE, relaxed)
# volume = 358.35 Å³/cell
# calculated total energy = -4.81 eV/atom
# crystal system = monoclinic
# DOS(E_F) = 3.4 states/eV/cell
data_RbHoGaS4
_chemical_formula_sum 'Rb2 Ho2 Ga2 S8'
_cell_length_a 6.870
_cell_length_b 5.697
_cell_length_c 9.513
_cell_angle_alpha 90.00
_cell_angle_beta 105.76
_cell_angle_gamma 90.00
_space_group_name_H-M_alt 'P 1 21/m 1'
_space_group_IT_number 11
loop_
_space_group_symop_operation_xyz
'x,y,z'
'-x,-y,-z'
'-x,y+1/2,-z'
'x,-y+1/2,z'
loop_
_atom_site_label
_atom_site_type_symbol
_atom_site_fract_x
_atom_site_fract_y
_atom_site_fract_z
_atom_site_occupancy
Rb1 Rb 0.245 0.250 0.457 1
Ho1 Ho 0.245 0.250 0.943 1
Ga1 Ga 0.245 0.750 0.169 1
S1 S 0.048 0.750 0.318 1
S2 S 0.079 0.750 0.929 1
S3 S 0.491 0.517 0.802 1

Entry 2:
# Rb2HoGaSe4 (GGA-PBE, relaxed)
# volume = 935.62 Å³/cell
# calculated total energy = -4.03 eV/atom
# crystal system = monoclinic
# DOS(E_F) = 5.2 states/eV/cell
data_Rb2HoGaSe4
_chemical_formula_sum 'Rb8 Ho4 Ga4 Se16'
_cell_length_a 12.121
_cell_length_b 12.466
_cell_length_c 8.566
_cell_angle_alpha 90.00
_cell_angle_beta 133.71
_cell_angle_gamma 90.00
_space_group_name_H-M_alt 'C 1 2/c 1'
_space_group_IT_number 15
loop_
_space_group_symop_operation_xyz
'x,y,z'
'-x,-y,-z'
'-x,y,-z+1/2'
'x,-y,z+1/2'
'x+1/2,y+1/2,z'
'-x+1/2,-y+1/2,-z'
'-x+1/2,y+1/2,-z+1/2'
'x+1/2,-y+1/2,z+1/2'
loop_
_atom_site_label
_atom_site_type_symbol
_atom_site_fract_x
_atom_site_fract_y
_atom_site_fract_z
_atom_site_occupancy
Rb1 Rb 0.000 0.000 0.000 1
Rb2 Rb 0.250 0.250 0.000 1
Ho1 Ho 0.250 0.250 0.500 1
Ga1 Ga 0.000 0.500 0.000 1
Se1 Se 0.003 0.270 0.035 1
Se2 Se 0.200 0.485 0.463 1

Entry 3:
# Rb2HoGaTe4 (GGA-PBE, relaxed)
# volume = 605.73 Å³/cell
# calculated total energy = -3.71 eV/atom
# crystal system = tetragonal
# DOS(E_F) = 0.0 states/eV/cell
data_Rb2HoGaTe4
_chemical_formula_sum 'Rb4 Ho2 Ga2 Te8'
_cell_length_a 9.042
_cell_length_b 9.042
_cell_length_c 7.409
_cell_angle_alpha 90.00
_cell_angle_beta 90.00
_cell_angle_gamma 90.00
_space_group_name_H-M_alt 'I -4 2 m'
_space_group_IT_number 121
_space_group_name_Hall 'I -4 2'
loop_
_atom_site_label
_atom_site_type_symbol
_atom_site_fract_x
_atom_site_fract_y
_atom_site_fract_z
_atom_site_occupancy
Rb1 Rb 0.000 0.500 0.000 1
Ho1 Ho 0.000 0.000 0.000 1
Ga1 Ga 0.000 0.000 0.500 1
Te1 Te 0.167 0.167 0.723 1

Entry 4:
# Rb3Ho3GaTe8 (GGA-PBE, relaxed)
# volume = 1168.60 Å³/cell
# calculated total energy = -4.04 eV/atom
# crystal system = monoclinic
# DOS(E_F) = 14.2 states/eV/cell
data_Rb3Ho3GaTe8
_chemical_formula_sum 'Rb6 Ho6 Ga2 Te16'
_cell_length_a 15.099
_cell_length_b 8.715
_cell_length_c 10.210
_cell_angle_alpha 90.00
_cell_angle_beta 119.57
_cell_angle_gamma 90.00
_space_group_name_H-M_alt 'C 1 2/m 1'
_space_group_IT_number 12
loop_
_space_group_symop_operation_xyz
'x,y,z'
'-x,-y,-z'
'-x,y,-z'
'x,-y,z'
'x+1/2,y+1/2,z'
'-x+1/2,-y+1/2,-z'
'-x+1/2,y+1/2,-z'
'x+1/2,-y+1/2,z'
loop_
_atom_site_label
_atom_site_type_symbol
_atom_site_fract_x
_atom_site_fract_y
_atom_site_fract_z
_atom_site_occupancy
Rb1 Rb 0.000 0.000 0.000 1
Rb2 Rb 0.250 0.250 0.000 1
Ho1 Ho 0.000 0.500 0.500 1
Ho2 Ho 0.250 0.250 0.500 1
Ga1 Ga 0.000 0.000 0.500 1
Te1 Te 0.017 0.241 0.309 1
Te2 Te 0.222 0.000 0.689 1
Te3 Te 0.234 0.500 0.700 1

Entry 5:
# Ho3Ga12Re5 (GGA-PBE, relaxed)
# volume = 3828.04 Å³/cell
# formation enthalpy at 0 K = 0.66 eV/atom
# crystal system = cubic
# DOS(E_F) = 158.1 states/eV/cell
data_Ho3Ga12Re5
_chemical_formula_sum 'Ho24 Ga96 Re40'
_cell_length_a 15.643
_cell_length_b 15.643
_cell_length_c 15.643
_cell_angle_alpha 90.00
_cell_angle_beta 90.00
_cell_angle_gamma 90.00
_space_group_name_H-M_alt 'I a -3 d'
_space_group_IT_number 230
_space_group_name_Hall '-I 4bd 2c 3'
loop_
_atom_site_label
_atom_site_type_symbol
_atom_site_fract_x
_atom_site_fract_y
_atom_site_fract_z
_atom_site_occupancy
Ho1 Ho 0.000 0.250 0.125 1
Ga1 Ga 0.049 0.067 0.633 1
Re1 Re 0.000 0.000 0.000 1
Re2 Re 0.000 0.250 0.375 1

Entry 6:
# HoGa6Re (GGA-PBE, relaxed)
# volume = 485.25 Å³/cell
# formation enthalpy at 0 K = -0.13 eV/atom
# crystal system = trigonal
# DOS(E_F) = 18.1 states/eV/cell
data_HoGa6Re
_chemical_formula_sum 'Ho3 Ga18 Re3'
_cell_length_a 9.2928
_cell_length_b 9.2928
_cell_length_c 6.4883
_cell_angle_alpha 90.00
_cell_angle_beta 90.00
_cell_angle_gamma 120.00
_space_group_name_H-M_alt 'R -3 m'
_space_group_IT_number 166
_space_group_name_Hall '-R 3 2"'
loop_
_atom_site_label
_atom_site_type_symbol
_atom_site_fract_x
_atom_site_fract_y
_atom_site_fract_z
_atom_site_occupancy
Ho1 Ho 0.0000 0.0000 0.0000 1
Ga1 Ga 0.0459 0.5230 0.3093 1
Re1 Re 0.0000 0.0000 0.5000 1